[1]
A plane-wave DFT calculation with PBE was carried out for a relaxed La3Al2 crystal.

Computed properties:
Energy of formation from the pure elements = -0.193 eV/atom
Calculated volume = 29.0 Å³/atom

Cell lengths 9.8679, 8.6806, 6.4917 Å; angles 79.72, 59.95, 40.34 degrees
Atoms (fractional coordinates):
Al1 0.3493 0.5623 0.1991
La1 0.3758 0.4271 0.7268
Al2 0.8893 0.1991 0.5623
La2 0.4703 0.7268 0.4271
Al3 0.6877 0.9007 0.3607
La3 0.9153 0.0847 0.0847
La4 0.8229 0.8742 0.7797
Al4 0.0509 0.3607 0.9007
La5 0.5232 0.7797 0.8742
La6 0.1653 0.3347 0.3347



[2]
A plane-wave DFT calculation with PBE was carried out for a relaxed LaAl crystal.

Computed properties:
Energy of formation from the pure elements = -0.158 eV/atom
Calculated volume = 27.2 Å³/atom

Cell lengths 3.4500, 3.4500, 9.1249 Å; angles 90.00, 90.00, 90.00 degrees
Atoms (fractional coordinates):
Al1 0.7500 0.7500 0.9245
La1 0.2500 0.2500 0.6817
Al2 0.2500 0.2500 0.0755
La2 0.7500 0.7500 0.3183



[3]
A plane-wave DFT calculation with PBE was carried out for a relaxed La2Al3 crystal.

Computed properties:
Energy of formation from the pure elements = -0.285 eV/atom
Calculated volume = 28.1 Å³/atom

Cell lengths 8.4937, 8.4937, 8.4937 Å; angles 30.55, 30.55, 30.55 degrees
Atoms (fractional coordinates):
Al1 0.0000 0.0000 0.0000
La1 0.5879 0.5879 0.5879
Al2 0.1596 0.1596 0.1596
Al3 0.8404 0.8404 0.8404
La2 0.4121 0.4121 0.4121



[4]
A plane-wave DFT calculation with PBE was carried out for a relaxed La5Al crystal.

Computed properties:
Energy of formation from the pure elements = -0.075 eV/atom
Calculated volume = 32.5 Å³/atom

Cell lengths 6.2538, 6.2538, 5.7502 Å; angles 90.00, 90.00, 120.00 degrees
Atoms (fractional coordinates):
Al1 0.3333 0.0000 0.5000
La1 0.3333 0.6969 0.0000
La2 0.6365 0.3031 0.0000
La3 0.0000 0.3333 0.5000
La4 0.6667 0.6667 0.5000
La5 0.0302 0.0000 0.0000



[5]
A plane-wave DFT calculation with PBE was carried out for a relaxed La3Al5 crystal.

Computed properties:
Energy of formation from the pure elements = -0.251 eV/atom
Calculated volume = 24.6 Å³/atom

Cell lengths 6.4977, 6.4977, 4.6571 Å; angles 90.00, 90.00, 91.45 degrees
Atoms (fractional coordinates):
Al1 0.2487 0.2487 0.5000
La1 0.7638 0.2362 0.5000
Al2 0.0000 0.5000 0.0000
Al3 0.7513 0.7513 0.5000
La2 0.2362 0.7638 0.5000
Al4 0.0000 0.0000 0.0000
Al5 0.5000 0.0000 0.0000
La3 0.5000 0.5000 0.0000



[6]
A plane-wave DFT calculation with PBE was carried out for a relaxed La3Al crystal.

Computed properties:
Energy of formation from the pure elements = -0.182 eV/atom
Calculated volume = 30.6 Å³/atom

Cell lengths 5.4927, 6.2609, 7.1078 Å; angles 90.00, 90.00, 90.00 degrees
Atoms (fractional coordinates):
La1 0.5000 0.1856 0.7528
La2 0.0000 0.8144 0.2528
Al1 0.0000 0.3161 0.0000
La3 0.0000 0.3811 0.5000
La4 0.5000 0.1856 0.2472
Al2 0.5000 0.6839 0.5000
La5 0.5000 0.6189 0.0000
La6 0.0000 0.8144 0.7472